Density functional theory data (PBE) for a relaxed Li2Sm2ErPb2 crystal.

Cell: 9.5247 9.5247 9.5247 Å, 29.42 29.42 29.42°
Element x y z (fractional)
Li: 0.1036 0.1036 0.1036
Li: 0.8964 0.8964 0.8964
Sm: 0.3722 0.3722 0.3722
Sm: 0.6278 0.6278 0.6278
Er: 0.5000 0.5000 0.5000
Pb: 0.2329 0.2329 0.2329
Pb: 0.7671 0.7671 0.7671

- Total magnetic moment: 0.00 μB/f.u.
- Uncorrected energy: -27.4 eV/cell



Density functional theory data (PBE) for a relaxed PmSm2Y2Sc crystal.

Cell: 6.9998 5.6142 9.6852 Å, 90.00 90.00 90.00°
Element x y z (fractional)
Pm: 0.0000 0.0000 0.0000
Pm: 0.5000 0.0000 0.0000
Sm: 0.2500 0.0000 0.3281
Sm: 0.2500 0.5000 0.8374
Sm: 0.7500 0.0000 0.6719
Sm: 0.7500 0.5000 0.1626
Y: 0.0000 0.5000 0.5000
Y: 0.2500 0.0000 0.6630
Y: 0.5000 0.5000 0.5000
Y: 0.7500 0.0000 0.3370
Sc: 0.2500 0.5000 0.1711
Sc: 0.7500 0.5000 0.8289

- Total magnetic moment: 0.00 μB/f.u.
- Uncorrected energy: -66.0 eV/cell



Density functional theory data (PBE) for a relaxed ZnCrW2 crystal.

Cell: 4.8771 4.8771 2.6662 Å, 90.00 90.00 112.72°
Element x y z (fractional)
Zn: 0.0000 0.0000 0.0000
Cr: 0.5000 0.5000 0.0000
W: 0.0000 0.5000 0.5000
W: 0.5000 0.0000 0.5000

- Total magnetic moment: 0.00 μB/f.u.
- Uncorrected energy: -35.4 eV/cell